1.
Entry from the Alexandria database: LaInRu after structural relaxation (PBE).

Cell lengths 7.547, 4.246, 13.001 Å; angles 90.00, 91.41, 90.00 degrees
Element x y z (fractional)
La1 0.035 0.250 0.124
La2 0.159 0.250 0.418
La3 0.462 0.750 0.787
La4 0.538 0.250 0.213
La5 0.841 0.750 0.582
La6 0.965 0.750 0.876
In1 0.129 0.250 0.702
In2 0.357 0.750 0.040
In3 0.496 0.750 0.413
In4 0.504 0.250 0.587
In5 0.643 0.250 0.960
In6 0.871 0.750 0.298
Ru1 0.241 0.750 0.249
Ru2 0.255 0.250 0.911
Ru3 0.259 0.750 0.582
Ru4 0.741 0.250 0.418
Ru5 0.745 0.750 0.089
Ru6 0.759 0.250 0.751

Computed properties:
DFT formation energy   -0.36 eV per atom
Space-group type   No. 11



2.
Entry from the Alexandria database: BaLa2Tl after structural relaxation (PBE).

Cell lengths 4.068, 6.005, 12.729 Å; angles 90.00, 90.00, 90.00 degrees
Element x y z (fractional)
Ba1 0.000 0.000 0.000
Ba2 0.500 0.500 0.500
La1 0.000 0.500 0.213
La2 0.000 0.500 0.787
La3 0.500 0.000 0.287
La4 0.500 0.000 0.713
Tl1 0.000 0.000 0.500
Tl2 0.500 0.500 0.000

Computed properties:
E above lowest polymorph   3 meV/atom
DFT formation energy   -0.14 eV per atom
Space-group type   No. 71



3.
Entry from the Alexandria database: Nd2Pu3N8 after structural relaxation (PBE).

Cell lengths 6.897, 6.897, 10.374 Å; angles 90.00, 90.00, 120.00 degrees
Element x y z (fractional)
Nd1 0.333 0.667 0.000
Nd2 0.333 0.667 0.353
Nd3 0.667 0.333 0.500
Nd4 0.667 0.333 0.853
Pu1 0.166 0.332 0.710
Pu2 0.166 0.834 0.710
Pu3 0.332 0.166 0.210
Pu4 0.668 0.834 0.710
Pu5 0.834 0.166 0.210
Pu6 0.834 0.668 0.210
N1 0.000 0.000 0.300
N2 0.000 0.000 0.800
N3 0.058 0.529 0.821
N4 0.162 0.324 0.133
N5 0.162 0.838 0.133
N6 0.324 0.162 0.633
N7 0.333 0.667 0.603
N8 0.471 0.529 0.821
N9 0.471 0.942 0.821
N10 0.529 0.058 0.321
N11 0.529 0.471 0.321
N12 0.667 0.333 0.103
N13 0.676 0.838 0.133
N14 0.838 0.162 0.633
N15 0.838 0.676 0.633
N16 0.942 0.471 0.321

Computed properties:
ΔE_f (raw)   -0.899 eV/atom
Space-group type   No. 186



4.
Entry from the Alexandria database: TaSiTc2 after structural relaxation (PBE).

Cell lengths 6.790, 6.790, 5.598 Å; angles 90.00, 90.00, 90.00 degrees
Element x y z (fractional)
Ta1 0.000 0.000 0.000
Ta2 0.000 0.500 0.250
Ta3 0.500 0.000 0.750
Ta4 0.500 0.500 0.500
Si1 0.000 0.000 0.500
Si2 0.000 0.500 0.750
Si3 0.500 0.000 0.250
Si4 0.500 0.500 0.000
Tc1 0.205 0.250 0.625
Tc2 0.250 0.705 0.875
Tc3 0.250 0.795 0.375
Tc4 0.295 0.250 0.125
Tc5 0.705 0.750 0.125
Tc6 0.750 0.205 0.375
Tc7 0.750 0.295 0.875
Tc8 0.795 0.750 0.625

Computed properties:
ΔE_f (raw)   0.345 eV/atom
Space-group type   No. 122



5.
Entry from the Alexandria database: Tb2PuTlN after structural relaxation (PBE).

Cell lengths 4.917, 4.917, 4.727 Å; angles 90.00, 90.00, 90.00 degrees
Element x y z (fractional)
Tb1 0.000 0.500 0.000
Tb2 0.500 0.000 0.000
Pu1 0.000 0.000 0.500
Tl1 0.500 0.500 0.500
N1 0.000 0.000 0.000

Computed properties:
ΔE_f (raw)   -0.759 eV/atom
Space-group type   No. 123



6.
Entry from the Alexandria database: PrHfIn2 after structural relaxation (PBE).

Cell lengths 3.362, 3.362, 31.735 Å; angles 90.00, 90.00, 120.00 degrees
Element x y z (fractional)
Pr1 0.000 0.000 0.000
Pr2 0.333 0.667 0.667
Pr3 0.667 0.333 0.333
Hf1 0.000 0.000 0.500
Hf2 0.333 0.667 0.167
Hf3 0.667 0.333 0.833
In1 0.000 0.000 0.244
In2 0.000 0.000 0.756
In3 0.333 0.667 0.423
In4 0.333 0.667 0.911
In5 0.667 0.333 0.089
In6 0.667 0.333 0.577

Computed properties:
E above lowest polymorph   114 meV/atom
DFT formation energy   -0.09 eV per atom
Space-group type   No. 166



7.
Entry from the Alexandria database: Ca2HoMg after structural relaxation (PBE).

Cell lengths 3.561, 3.561, 37.420 Å; angles 90.00, 90.00, 120.00 degrees
Element x y z (fractional)
Ca1 0.000 0.000 0.091
Ca2 0.000 0.000 0.909
Ca3 0.333 0.667 0.575
Ca4 0.333 0.667 0.758
Ca5 0.667 0.333 0.242
Ca6 0.667 0.333 0.425
Ho1 0.000 0.000 0.000
Ho2 0.333 0.667 0.667
Ho3 0.667 0.333 0.333
Mg1 0.000 0.000 0.500
Mg2 0.333 0.667 0.167
Mg3 0.667 0.333 0.833

Computed properties:
E above lowest polymorph   155 meV/atom
DFT formation energy   0.24 eV per atom
Space-group type   No. 166



8.
Entry from the Alexandria database: Sr3In8Ag3 after structural relaxation (PBE).

Cell lengths 9.170, 9.170, 9.170 Å; angles 149.10, 107.22, 81.14 degrees
Element x y z (fractional)
Sr1 0.000 0.000 0.000
Sr2 0.298 0.298 0.000
Sr3 0.702 0.702 0.000
In1 0.015 0.653 0.362
In2 0.158 0.869 0.289
In3 0.291 0.653 0.638
In4 0.420 0.131 0.289
In5 0.580 0.869 0.711
In6 0.709 0.347 0.362
In7 0.842 0.131 0.711
In8 0.985 0.347 0.638
Ag1 0.328 0.500 0.828
Ag2 0.500 0.000 0.500
Ag3 0.672 0.500 0.172

Computed properties:
DFT formation energy   -0.32 eV per atom
Space-group type   No. 71



| no. | magnetization (μB per atom) |
| --- | --- |
| 1 | 0.0000 |
| 2 | 0.0000 |
| 3 | 0.4615 |
| 4 | 0.0000 |
| 5 | 1.1403 |
| 6 | 0.0000 |
| 7 | 0.1497 |
| 8 | 0.0000 |